Record 1
Here is an optimized crystal structure of Bi3Mo4W2C3 from OQMD. Energies are from PBE.

POSCAR file:
```
Bi3Mo4W2C3
1.0
-2.818 2.438 4.201
1.291 -1.230 5.325
10.123 10.180 -3.789
Bi C Mo W
6 6 8 4
Direct
0.204 0.461 0.248
0.871 0.129 0.250
0.539 0.796 0.252
0.461 0.204 0.748
0.129 0.871 0.750
0.796 0.539 0.752
0.000 0.000 0.000
0.327 0.337 0.000
0.663 0.673 0.500
0.000 0.000 0.500
0.337 0.327 0.500
0.673 0.663 0.000
0.691 0.363 0.076
0.376 0.019 0.076
0.981 0.624 0.424
0.637 0.309 0.424
0.363 0.691 0.576
0.019 0.376 0.576
0.624 0.981 0.924
0.309 0.637 0.924
0.030 0.704 0.072
0.296 0.970 0.428
0.704 0.030 0.572
0.970 0.296 0.928
```

VASP energy: -8.768 eV/atom
Symmetry: C2/c (15)
Mass density: 12.03 g/cm3

Record 2
Here is an optimized crystal structure of Y2Bi3Mo4C3 from OQMD. Energies are from PBE.

POSCAR file:
```
Y2Bi3Mo4C3
1.0
-4.367 2.409 3.101
-3.276 -3.473 3.421
10.102 2.443 10.459
Bi C Mo Y
6 6 8 4
Direct
0.813 0.550 0.226
0.058 0.942 0.250
0.450 0.187 0.274
0.550 0.813 0.726
0.942 0.058 0.750
0.187 0.450 0.774
0.000 0.500 0.000
0.326 0.852 0.003
0.148 0.674 0.497
0.500 0.000 0.500
0.852 0.326 0.503
0.674 0.148 0.997
0.684 0.824 0.058
0.985 0.185 0.065
0.815 0.015 0.435
0.176 0.316 0.442
0.824 0.684 0.558
0.185 0.985 0.565
0.015 0.815 0.935
0.316 0.176 0.942
0.356 0.514 0.100
0.486 0.644 0.400
0.514 0.356 0.600
0.644 0.486 0.900
```

VASP energy: -8.113 eV/atom
Symmetry: C2/c (15)
Mass density: 9.14 g/cm3

Record 3
Here is an optimized crystal structure of Y4Bi3Mo2C3 from OQMD. Energies are from PBE.

POSCAR file:
```
Y4Bi3Mo2C3
1.0
-5.591 2.091 -1.130
-2.559 -1.112 -5.396
-3.503 -13.071 7.323
Bi C Mo Y
6 6 4 8
Direct
0.418 0.263 0.247
0.131 0.869 0.250
0.737 0.582 0.253
0.263 0.418 0.747
0.869 0.131 0.750
0.582 0.737 0.753
0.000 0.500 0.000
0.353 0.795 0.000
0.205 0.647 0.500
0.500 0.000 0.500
0.795 0.353 0.500
0.647 0.205 0.000
0.336 0.517 0.062
0.483 0.664 0.438
0.517 0.336 0.562
0.664 0.483 0.938
0.696 0.870 0.089
0.036 0.184 0.089
0.816 0.964 0.411
0.130 0.304 0.411
0.870 0.696 0.589
0.184 0.036 0.589
0.964 0.816 0.911
0.304 0.130 0.911
```

VASP energy: -7.604 eV/atom
Symmetry: C2/c (15)
Mass density: 8.29 g/cm3

Record 4
Here is an optimized crystal structure of ZnBiMo4C2 from OQMD. Energies are from PBE.

POSCAR file:
```
ZnBiMo4C2
1.0
-0.265 -3.031 -0.895
0.313 0.725 3.071
-13.518 0.833 1.180
Bi C Mo Zn
1 2 4 1
Direct
0.333 0.667 0.500
0.000 0.000 0.236
0.000 0.000 0.764
0.333 0.667 0.152
0.667 0.333 0.314
0.667 0.333 0.686
0.333 0.667 0.848
0.667 0.333 0.000
```

VASP energy: -8.239 eV/atom
Symmetry: P-6m2 (187)
Mass density: 9.57 g/cm3

Record 5
Here is an optimized crystal structure of Nb8Bi2C3N3 from OQMD. Energies are from PBE.

POSCAR file:
```
Nb8Bi2C3N3
1.0
3.255 0.000 0.000
-1.627 2.819 0.000
0.000 0.000 24.432
Bi C N Nb
2 3 3 8
Direct
0.667 0.333 0.247
0.333 0.667 0.753
0.333 0.667 0.393
0.000 0.000 0.500
0.667 0.333 0.607
0.000 0.000 0.000
0.333 0.667 0.104
0.667 0.333 0.896
0.667 0.333 0.054
0.000 0.000 0.145
0.000 0.000 0.348
0.667 0.333 0.446
0.333 0.667 0.554
0.000 0.000 0.652
0.000 0.000 0.855
0.333 0.667 0.946
```

VASP energy: -9.290 eV/atom
Symmetry: P-3m1 (164)
Mass density: 9.18 g/cm3

Record 6
Here is an optimized crystal structure of Nb4Bi2CN from OQMD. Energies are from PBE.

POSCAR file:
```
Nb4Bi2CN
1.0
3.412 0.000 0.000
-1.706 2.955 0.000
0.000 0.000 13.462
Bi C N Nb
2 1 1 4
Direct
0.667 0.333 0.252
0.333 0.667 0.748
0.000 0.000 0.000
0.000 0.000 0.500
0.333 0.667 0.079
0.333 0.667 0.425
0.667 0.333 0.575
0.667 0.333 0.921
```

VASP energy: -8.521 eV/atom
Symmetry: P-3m1 (164)
Mass density: 9.98 g/cm3

Record 7
Here is an optimized crystal structure of Ta8Bi2C3N3 from OQMD. Energies are from PBE.

POSCAR file:
```
Ta8Bi2C3N3
1.0
3.196 0.000 0.000
-1.598 2.768 0.000
0.000 0.000 25.600
Bi C N Ta
2 3 3 8
Direct
0.333 0.667 0.254
0.667 0.333 0.746
0.000 0.000 0.000
0.667 0.333 0.102
0.333 0.667 0.898
0.667 0.333 0.401
0.000 0.000 0.500
0.333 0.667 0.599
0.333 0.667 0.051
0.000 0.000 0.147
0.000 0.000 0.360
0.333 0.667 0.448
0.667 0.333 0.552
0.000 0.000 0.640
0.000 0.000 0.853
0.667 0.333 0.949
```

VASP energy: -10.114 eV/atom
Symmetry: P-3m1 (164)
Mass density: 14.25 g/cm3

Record 8
Here is an optimized crystal structure of Ta4Bi2CN from OQMD. Energies are from PBE.

POSCAR file:
```
Ta4Bi2CN
1.0
3.422 0.000 0.000
-1.711 2.964 0.000
0.000 0.000 13.361
Bi C N Ta
2 1 1 4
Direct
0.667 0.333 0.252
0.333 0.667 0.748
0.000 0.000 0.000
0.000 0.000 0.500
0.333 0.667 0.077
0.333 0.667 0.427
0.667 0.333 0.573
0.667 0.333 0.923
```

VASP energy: -9.244 eV/atom
Symmetry: P-3m1 (164)
Mass density: 14.31 g/cm3

Record 9
Here is an optimized crystal structure of Ta3BiCN from OQMD. Energies are from PBE.

POSCAR file:
```
Ta3BiCN
1.0
-1.771 1.786 1.979
1.776 -2.395 1.163
15.586 12.747 2.446
Bi C N Ta
2 2 2 6
Direct
0.000 0.000 0.253
0.000 0.000 0.747
0.333 0.667 0.065
0.667 0.333 0.935
0.333 0.667 0.439
0.667 0.333 0.561
0.000 0.000 0.000
0.667 0.333 0.120
0.667 0.333 0.381
0.000 0.000 0.500
0.333 0.667 0.619
0.333 0.667 0.880
```

VASP energy: -9.789 eV/atom
Symmetry: P-3m1 (164)
Mass density: 14.36 g/cm3

Record 10
Here is an optimized crystal structure of Zr8Bi2C3N3 from OQMD. Energies are from PBE.

POSCAR file:
```
Zr8Bi2C3N3
1.0
-3.220 -0.781 0.569
2.351 -2.402 0.075
3.389 4.089 24.796
Bi C N Zr
2 3 3 8
Direct
0.333 0.667 0.252
0.667 0.333 0.748
0.000 0.000 0.000
0.667 0.333 0.109
0.333 0.667 0.891
0.667 0.333 0.398
0.000 0.000 0.500
0.333 0.667 0.602
0.333 0.667 0.052
0.000 0.000 0.155
0.000 0.000 0.349
0.333 0.667 0.447
0.667 0.333 0.553
0.000 0.000 0.651
0.000 0.000 0.845
0.667 0.333 0.948
```

VASP energy: -9.077 eV/atom
Symmetry: P-3m1 (164)
Mass density: 8.20 g/cm3

Record 11
Here is an optimized crystal structure of Nb4BiPC2 from OQMD. Energies are from PBE.

POSCAR file:
```
Nb4BiPC2
1.0
3.333 0.000 0.000
-1.667 2.887 0.000
0.000 0.000 12.801
Bi C Nb P
1 2 4 1
Direct
0.333 0.667 0.000
0.000 0.000 0.271
0.000 0.000 0.729
0.667 0.333 0.188
0.333 0.667 0.365
0.333 0.667 0.635
0.667 0.333 0.812
0.667 0.333 0.500
```

VASP energy: -9.028 eV/atom
Symmetry: P-6m2 (187)
Mass density: 8.57 g/cm3

Record 12
Here is an optimized crystal structure of Nb4BiPbC2 from OQMD. Energies are from PBE.

POSCAR file:
```
Nb4BiPbC2
1.0
3.350 0.000 0.000
-1.675 2.901 0.000
0.000 0.000 13.921
Bi C Nb Pb
1 2 4 1
Direct
0.000 0.000 0.000
0.333 0.667 0.249
0.333 0.667 0.751
0.667 0.333 0.170
0.000 0.000 0.328
0.000 0.000 0.672
0.667 0.333 0.830
0.667 0.333 0.500
```

VASP energy: -8.553 eV/atom
Symmetry: P-6m2 (187)
Mass density: 9.96 g/cm3

Record 13
Here is an optimized crystal structure of Nb4BiC2S from OQMD. Energies are from PBE.

POSCAR file:
```
Nb4BiC2S
1.0
-0.708 0.202 3.276
-2.135 -1.536 -2.088
5.979 -10.987 1.971
Bi C Nb S
1 2 4 1
Direct
0.000 0.000 0.000
0.333 0.667 0.270
0.333 0.667 0.730
0.667 0.333 0.188
0.000 0.000 0.361
0.000 0.000 0.639
0.667 0.333 0.812
0.667 0.333 0.500
```

VASP energy: -8.872 eV/atom
Symmetry: P-6m2 (187)
Mass density: 8.55 g/cm3

Record 14
Here is an optimized crystal structure of Nb4BiSbC2 from OQMD. Energies are from PBE.

POSCAR file:
```
Nb4BiSbC2
1.0
-2.792 0.729 1.746
0.758 -3.210 -0.705
6.951 -0.882 11.485
Bi C Nb Sb
1 2 4 1
Direct
0.000 0.000 0.000
0.333 0.667 0.255
0.333 0.667 0.745
0.667 0.333 0.175
0.000 0.000 0.339
0.000 0.000 0.661
0.667 0.333 0.825
0.667 0.333 0.500
```

VASP energy: -8.673 eV/atom
Symmetry: P-6m2 (187)
Mass density: 9.10 g/cm3

Record 15
Here is an optimized crystal structure of Sc2Nb4Bi3C3 from OQMD. Energies are from PBE.

POSCAR file:
```
Sc2Nb4Bi3C3
1.0
5.102 -2.966 0.000
5.102 2.966 0.000
-3.415 0.000 13.891
Bi C Nb Sc
6 6 8 4
Direct
0.416 0.240 0.249
0.074 0.926 0.250
0.760 0.584 0.251
0.240 0.416 0.749
0.926 0.074 0.750
0.584 0.760 0.751
0.000 0.500 0.000
0.331 0.838 0.000
0.162 0.669 0.500
0.500 0.000 0.500
0.838 0.331 0.500
0.669 0.162 0.000
0.020 0.197 0.075
0.692 0.853 0.075
0.147 0.308 0.425
0.803 0.980 0.425
0.197 0.020 0.575
0.853 0.692 0.575
0.308 0.147 0.925
0.980 0.803 0.925
0.369 0.529 0.086
0.471 0.631 0.414
0.529 0.369 0.586
0.631 0.471 0.914
```

VASP energy: -8.134 eV/atom
Symmetry: C2/c (15)
Mass density: 8.88 g/cm3

Record 16
Here is an optimized crystal structure of Nb4SnBiC2 from OQMD. Energies are from PBE.

POSCAR file:
```
Nb4SnBiC2
1.0
-2.611 -0.068 -2.066
2.965 -1.116 -1.027
-3.214 -12.656 4.477
Bi C Nb Sn
1 2 4 1
Direct
0.000 0.000 0.000
0.333 0.667 0.251
0.333 0.667 0.749
0.667 0.333 0.172
0.000 0.000 0.334
0.000 0.000 0.666
0.667 0.333 0.828
0.667 0.333 0.500
```

VASP energy: -8.670 eV/atom
Symmetry: P-6m2 (187)
Mass density: 9.06 g/cm3

Record 17
Here is an optimized crystal structure of Nb4TlBiC2 from OQMD. Energies are from PBE.

POSCAR file:
```
Nb4TlBiC2
1.0
3.314 0.000 0.000
-1.657 2.870 0.000
0.000 0.000 14.084
Bi C Nb Tl
1 2 4 1
Direct
0.333 0.667 0.000
0.000 0.000 0.249
0.000 0.000 0.751
0.667 0.333 0.169
0.333 0.667 0.329
0.333 0.667 0.671
0.667 0.333 0.831
0.667 0.333 0.500
```

VASP energy: -8.386 eV/atom
Symmetry: P-6m2 (187)
Mass density: 10.03 g/cm3

Record 18
Here is an optimized crystal structure of Nb2Bi3W4C3 from OQMD. Energies are from PBE.

POSCAR file:
```
Nb2Bi3W4C3
1.0
4.860 -2.824 0.000
4.860 2.824 0.000
-0.578 0.000 14.707
Bi C Nb W
6 6 4 8
Direct
0.769 0.559 0.238
0.104 0.896 0.250
0.441 0.231 0.262
0.559 0.769 0.738
0.896 0.104 0.750
0.231 0.441 0.762
0.000 0.500 0.000
0.330 0.840 0.002
0.160 0.670 0.498
0.500 0.000 0.500
0.840 0.330 0.502
0.670 0.160 0.998
0.344 0.502 0.081
0.498 0.656 0.419
0.502 0.344 0.581
0.656 0.498 0.919
0.676 0.829 0.068
0.994 0.173 0.073
0.827 0.006 0.427
0.171 0.324 0.432
0.829 0.676 0.568
0.173 0.994 0.573
0.006 0.827 0.927
0.324 0.171 0.932
```

VASP energy: -9.068 eV/atom
Symmetry: C2/c (15)
Mass density: 13.03 g/cm3